## Cs2TbHCl6 (PBE-GGA)

Data for a relaxed Cs2TbHCl6 crystal.

Unit cell a=7.406 b=7.406 c=7.406 alpha=110.05 beta=109.95 gamma=108.42
Fractional coordinates of all 10 atoms:
Cs: 0.250 0.250 0.000
Cs: 0.750 0.750 0.000
Tb: 0.500 0.000 0.500
H: 0.000 0.500 0.500
Cl: 0.180 0.680 0.500
Cl: 0.282 0.218 0.500
Cl: 0.282 0.782 0.064
Cl: 0.718 0.218 0.936
Cl: 0.718 0.782 0.500
Cl: 0.820 0.320 0.500

As for the symmetry: Immm (71). For the uncorrected energy, the calculation gives -38.7 eV for the cell shown. The value obtained for the calculated volume is 312.6 Å³ per cell. As for the crystal system: orthorhombic.